Sc2NiF GGA+U optimized geometry; crystal system = trigonal; symmetry = R-3m; DFT total energy = -4.74 eV/atom; energy above the most stable polymorph in this dataset = 2.38 eV per formula unit
1.0
1.478 0.853 8.212
-1.478 0.853 8.212
0.000 -1.707 8.212
Sc Ni F
2 1 1
direct
0.094 0.094 0.094 Sc
0.906 0.906 0.906 Sc
0.000 0.000 0.000 Ni
0.500 0.500 0.500 F